! Tb2TmCuSn3Ir2 (PBE-GGA, optimized geometry); values from VASP
! - symmetry = Amm2 (38)
! - electronic total energy (eV per atom) = -5.968
! - size of the total moment (μB per formula unit) = 0.00
&SYSTEM
  ibrav = 0, nat = 9, ntyp = 5
/
ATOMIC_SPECIES
Tm 168.93 Tm.upf
Tb 158.93 Tb.upf
Sn 118.71 Sn.upf
Cu 63.55 Cu.upf
Ir 192.22 Ir.upf
CELL_PARAMETERS angstrom
3.8779 0.0000 0.0000
0.0000 6.5064 3.7746
0.0000 -6.5064 3.7746
ATOMIC_POSITIONS crystal
Tm 0.0000 0.5938 0.5938
Tb 0.0000 0.0000 0.4062
Tb 0.0000 0.4062 0.0000
Sn 0.5000 0.2607 0.2607
Sn 0.5000 0.9990 0.7397
Sn 0.5000 0.7397 0.9990
Cu 0.0000 0.9984 0.9984
Ir 0.5000 0.6656 0.3366
Ir 0.5000 0.3366 0.6656